DFT (PBE) results for a relaxed Ba4TePCl2 crystal.

Unit cell a=4.749 b=8.032 c=8.347 alpha=70.10 beta=90.00 gamma=90.00
Element x y z (fractional)
Ba  0.000  0.742  0.732
Ba  0.000  0.258  0.268
Ba  0.500  0.734  0.272
Ba  0.500  0.266  0.728
Te  0.500  0.500  0.000
P  0.000  0.500  0.500
Cl  0.000  0.000  0.000
Cl  0.500  0.000  0.500

**Space-group type**: P2/m
**E_tot**: -33.77 eV for the cell shown
**M_tot**: 0.00 μB per cell
**Mass density**: 4.32 g/cm3
**Formation energy (no corrections)**: -1.729 eV/atom